Entry 1:
Material: KSrCa2
Method: DFT, PBE-GGA
State: relaxed

Properties
Relative energy among the computed polymorphs in eV per formula unit: 0.22
Space-group type: Pmmm
DFT formation energy in eV per atom: 0.14
DFT total energy in eV/cell: -6.229
Theoretical density in g cm⁻³: 1.718
M_tot in μB per cell: 0.0

Cell lengths 4.4025, 6.7249, 6.7554 Å; angles 90.00, 90.00, 90.00 degrees
Atoms (fractional coordinates):
K 0.0000 0.0000 0.0000
Sr 0.5000 0.5000 0.0000
Ca 0.0000 0.5000 0.5000
Ca 0.5000 0.0000 0.5000

Entry 2:
Material: KSr8Ca6
Method: DFT, PBE-GGA
State: relaxed

Properties
Space-group type: P-3
DFT formation energy in eV per atom: 0.13
DFT total energy in eV/cell: -24.614
Theoretical density in g cm⁻³: 2.097
M_tot in μB per cell: 0.0

Cell lengths 10.9139, 10.9139, 7.5281 Å; angles 90.00, 90.00, 120.00 degrees
Atoms (fractional coordinates):
K 0.0000 0.0000 0.0000
Sr 0.0943 0.4443 0.1790
Sr 0.3333 0.6667 0.6567
Sr 0.3500 0.9057 0.1790
Sr 0.4443 0.3500 0.8210
Sr 0.5557 0.6500 0.1790
Sr 0.6500 0.0943 0.8210
Sr 0.6667 0.3333 0.3433
Sr 0.9057 0.5557 0.8210
Ca 0.0395 0.2710 0.6658
Ca 0.2315 0.9605 0.6658
Ca 0.2710 0.2315 0.3342
Ca 0.7290 0.7685 0.6658
Ca 0.7685 0.0395 0.3342
Ca 0.9605 0.7290 0.3342

What did the second record say?
Material: KSr8Ca6
Method: DFT, PBE-GGA
State: relaxed

Properties
Space-group type: P-3
DFT formation energy in eV per atom: 0.13
DFT total energy in eV/cell: -24.614
Theoretical density in g cm⁻³: 2.097
M_tot in μB per cell: 0.0

Cell lengths 10.9139, 10.9139, 7.5281 Å; angles 90.00, 90.00, 120.00 degrees
Atoms (fractional coordinates):
K 0.0000 0.0000 0.0000
Sr 0.0943 0.4443 0.1790
Sr 0.3333 0.6667 0.6567
Sr 0.3500 0.9057 0.1790
Sr 0.4443 0.3500 0.8210
Sr 0.5557 0.6500 0.1790
Sr 0.6500 0.0943 0.8210
Sr 0.6667 0.3333 0.3433
Sr 0.9057 0.5557 0.8210
Ca 0.0395 0.2710 0.6658
Ca 0.2315 0.9605 0.6658
Ca 0.2710 0.2315 0.3342
Ca 0.7290 0.7685 0.6658
Ca 0.7685 0.0395 0.3342
Ca 0.9605 0.7290 0.3342

> What is the DFT formation energy in the second record?

0.13 eV per atom